No. 1
This record from the Alexandria database describes Mg2ZnRh after structural relaxation. The functional is PBEsol.

Lattice parameters (Å, degrees): 3.051 4.218 5.342 90.00 106.33 90.00
Positions (direct):
Mg (0.000, 0.000, 0.000)
Mg (0.318, 0.500, 0.641)
Zn (0.720, 0.000, 0.446)
Rh (0.590, 0.500, 0.181)

The calculation puts the total energy at -3.57 eV/atom. The total magnetization is 0.00 μB/f.u. Its crystal system is monoclinic. The energy of formation from the pure elements is -0.280 eV per atom. The value obtained for the density of states at the Fermi level is 1.35 states/eV/f.u.

=====

No. 2
This record from the Alexandria database describes Nb3Cr3C after structural relaxation. The functional is PBEsol.

Lattice parameters (Å, degrees): 8.094 8.094 8.094 60.00 60.00 60.00
Positions (direct):
Nb (0.068, 0.068, 0.682)
Nb (0.068, 0.682, 0.068)
Nb (0.068, 0.682, 0.682)
Nb (0.318, 0.318, 0.932)
Nb (0.318, 0.932, 0.318)
Nb (0.318, 0.932, 0.932)
Nb (0.682, 0.068, 0.068)
Nb (0.682, 0.068, 0.682)
Nb (0.682, 0.682, 0.068)
Nb (0.932, 0.318, 0.318)
Nb (0.932, 0.318, 0.932)
Nb (0.932, 0.932, 0.318)
Cr (0.000, 0.500, 0.500)
Cr (0.297, 0.297, 0.297)
Cr (0.297, 0.297, 0.610)
Cr (0.297, 0.610, 0.297)
Cr (0.390, 0.703, 0.703)
Cr (0.500, 0.000, 0.500)
Cr (0.500, 0.500, 0.000)
Cr (0.500, 0.500, 0.500)
Cr (0.610, 0.297, 0.297)
Cr (0.703, 0.390, 0.703)
Cr (0.703, 0.703, 0.390)
Cr (0.703, 0.703, 0.703)
C (0.000, 0.000, 0.000)
C (0.000, 0.000, 0.500)
C (0.000, 0.500, 0.000)
C (0.500, 0.000, 0.000)

The calculation puts the total energy at -10.60 eV/atom. The total magnetization is 0.00 μB/f.u. Its crystal system is cubic. The energy of formation from the pure elements is -0.195 eV per atom. The value obtained for the density of states at the Fermi level is 2.44 states/eV/f.u.